Record 1
A relaxed structure of Ce2ErCu9. Source: the Alexandria database, functional PBE-GGA.

The value obtained for the total energy is -0.16849 Ha/atom. Its calculated density is 8.83 g/cm³. The value obtained for the spin magnetization is 0.9 μB per formula unit.

It has space group R-3m (No. 166, hexagonal axes), with a = 5.1160 Å, b = 5.1160 Å, c = 25.3681 Å, α = 90.00°, β = 90.00° and γ = 120.00°. The inequivalent atoms are Ce at (0.0000, 0.0000, 0.1455), Er at (0.0000, 0.0000, 0.0000), Cu at (0.0000, 0.0000, 0.3319), Cu at (0.0000, 0.0000, 0.5000) and Cu at (0.0034, 0.5017, 0.0799).

***

Record 2
A relaxed structure of CeErCu. Source: the Alexandria database, functional PBE-GGA.

Its calculated density is 8.40 g/cm³. For the energy relative to the lowest polymorph listed for this composition, the calculation gives 0.040 eV/atom. The value obtained for the spin magnetization is 1.2 μB per formula unit.

It has space group I4mm (No. 107), with a = 3.442 Å, b = 3.442 Å, c = 12.379 Å, α = 90.00°, β = 90.00° and γ = 90.00°. The inequivalent atoms are Ce at (0.000, 0.000, 0.000), Er at (0.000, 0.000, 0.715) and Cu at (0.000, 0.000, 0.346).

***

Record 3
A relaxed structure of Ce2ErCu6. Source: the Alexandria database, functional PBE-GGA.

The value obtained for the total energy is -0.17395 Ha/atom. Its calculated density is 8.29 g/cm³. The value obtained for the spin magnetization is 0.4 μB per formula unit.

It has space group P6/mmm (No. 191), with a = 7.4981 Å, b = 7.4981 Å, c = 3.4092 Å, α = 90.00°, β = 90.00° and γ = 120.00°. The inequivalent atoms are Ce at (0.3333, 0.6667, 0.0000), Er at (0.0000, 0.0000, 0.0000) and Cu at (0.0000, 0.3315, 0.5000).

***

Record 4
A relaxed structure of CeEr2Cu9. Source: the Alexandria database, functional PBE-GGA.

The value obtained for the total energy is -0.16532 Ha/atom. Its calculated density is 9.01 g/cm³. The value obtained for the spin magnetization is 0.8 μB per formula unit.

It has space group P6_3/mmc (No. 194), with a = 5.2177 Å, b = 5.2177 Å, c = 16.3643 Å, α = 90.00°, β = 90.00° and γ = 120.00°. The inequivalent atoms are Ce at (0.3333, 0.6667, 0.2500), Er at (0.3333, 0.6667, 0.0352), Cu at (0.0000, 0.0000, 0.0000), Cu at (0.0000, 0.0000, 0.2500), Cu at (0.1671, 0.3343, 0.6253) and Cu at (0.3333, 0.6667, 0.7500).

***

Record 5
A relaxed structure of CeErCu. Source: the Alexandria database, functional PBE-GGA.

Its calculated density is 8.97 g/cm³. For the energy relative to the lowest polymorph listed for this composition, the calculation gives 0.000 eV/atom. The value obtained for the spin magnetization is 0.0 μB per formula unit.

It has space group Cmcm (No. 63), with a = 3.330 Å, b = 17.335 Å, c = 4.759 Å, α = 90.00°, β = 90.00° and γ = 90.00°. The inequivalent atoms are Ce at (0.000, 0.220, 0.250), Er at (0.000, 0.076, 0.750) and Cu at (0.000, 0.443, 0.750).

***

Record 6
A relaxed structure of CeEr5Cu4. Source: the Alexandria database, functional PBE-GGA.

The value obtained for the total energy is -0.17339 Ha/atom. Its calculated density is 9.19 g/cm³. The value obtained for the spin magnetization is 1.0 μB per formula unit.

It has space group P4/mmm (No. 123), with a = 3.418 Å, b = 3.418 Å, c = 19.028 Å, α = 90.00°, β = 90.00° and γ = 90.00°. The inequivalent atoms are Ce at (0.000, 0.000, 0.000), Er at (0.500, 0.500, 0.137), Er at (0.500, 0.500, 0.317), Er at (0.500, 0.500, 0.500), Cu at (0.000, 0.000, 0.225) and Cu at (0.000, 0.000, 0.409).

***

Record 7
A relaxed structure of CeEr2Cu. Source: the Alexandria database, functional PBE-GGA.

Its calculated density is 8.82 g/cm³. For the energy relative to the lowest polymorph listed for this composition, the calculation gives 0.000 eV/atom. The value obtained for the spin magnetization is 1.2 μB per formula unit.

It has space group P4/mmm (No. 123), with a = 3.458 Å, b = 3.458 Å, c = 8.476 Å, α = 90.00°, β = 90.00° and γ = 90.00°. The inequivalent atoms are Ce at (0.000, 0.000, 0.000), Er at (0.500, 0.500, 0.302) and Cu at (0.000, 0.000, 0.500).

***

Record 8
A relaxed structure of CeErFeCu. Source: the Alexandria database, functional PBE-GGA.

The value obtained for the total energy is -0.21223 Ha/atom. Its calculated density is 8.90 g/cm³. The value obtained for the spin magnetization is 0.7 μB per formula unit.

It has space group F-43m (No. 216), with a = 6.830 Å, b = 6.830 Å, c = 6.830 Å, α = 90.00°, β = 90.00° and γ = 90.00°. The inequivalent atoms are Ce at (0.000, 0.000, 0.000), Er at (0.000, 0.000, 0.500), Fe at (0.250, 0.250, 0.250) and Cu at (0.250, 0.250, 0.750).

***

Record 9
A relaxed structure of Ce2ErGa2Cu2. Source: the Alexandria database, functional PBE-GGA.

The value obtained for the total energy is -0.17616 Ha/atom. Its calculated density is 8.47 g/cm³. The value obtained for the spin magnetization is 0.6 μB per formula unit.

It has space group R-3m (No. 166, hexagonal axes), with a = 4.2910 Å, b = 4.2910 Å, c = 26.3380 Å, α = 90.00°, β = 90.00° and γ = 120.00°. The inequivalent atoms are Ce at (0.0000, 0.0000, 0.1392), Er at (0.0000, 0.0000, 0.0000), Ga at (0.0000, 0.0000, 0.2643) and Cu at (0.0000, 0.0000, 0.4019).

***

Record 10
A relaxed structure of CeErGaCu. Source: the Alexandria database, functional PBE-GGA.

The value obtained for the total energy is -0.17351 Ha/atom. Its calculated density is 8.14 g/cm³. The value obtained for the spin magnetization is 0.8 μB per formula unit.

It has space group F-43m (No. 216), with a = 7.110 Å, b = 7.110 Å, c = 7.110 Å, α = 90.00°, β = 90.00° and γ = 90.00°. The inequivalent atoms are Ce at (0.000, 0.000, 0.000), Er at (0.000, 0.000, 0.500), Ga at (0.250, 0.250, 0.250) and Cu at (0.250, 0.250, 0.750).

***

Record 11
A relaxed structure of CeErCuGe. Source: the Alexandria database, functional PBE-GGA.

The value obtained for the total energy is -0.19170 Ha/atom. Its calculated density is 8.29 g/cm³. The value obtained for the spin magnetization is 1.0 μB per formula unit.

It has space group F-43m (No. 216), with a = 7.083 Å, b = 7.083 Å, c = 7.083 Å, α = 90.00°, β = 90.00° and γ = 90.00°. The inequivalent atoms are Ce at (0.000, 0.000, 0.000), Er at (0.000, 0.000, 0.500), Cu at (0.250, 0.250, 0.750) and Ge at (0.250, 0.250, 0.250).

***

Record 12
A relaxed structure of CeErCuIr. Source: the Alexandria database, functional PBE-GGA.

The value obtained for the total energy is -0.23414 Ha/atom. Its calculated density is 11.24 g/cm³. The value obtained for the spin magnetization is 0.2 μB per formula unit.

It has space group F-43m (No. 216), with a = 6.929 Å, b = 6.929 Å, c = 6.929 Å, α = 90.00°, β = 90.00° and γ = 90.00°. The inequivalent atoms are Ce at (0.000, 0.000, 0.000), Er at (0.000, 0.000, 0.500), Cu at (0.250, 0.250, 0.250) and Ir at (0.250, 0.250, 0.750).

***

Record 13
A relaxed structure of CeErCuNi. Source: the Alexandria database, functional PBE-GGA.

The value obtained for the total energy is -0.19567 Ha/atom. Its calculated density is 8.80 g/cm³. The value obtained for the spin magnetization is 0.5 μB per formula unit.

It has space group F-43m (No. 216), with a = 6.871 Å, b = 6.871 Å, c = 6.871 Å, α = 90.00°, β = 90.00° and γ = 90.00°. The inequivalent atoms are Ce at (0.000, 0.000, 0.000), Er at (0.000, 0.000, 0.500), Cu at (0.250, 0.250, 0.250) and Ni at (0.250, 0.250, 0.750).

***

Record 14
A relaxed structure of CeErCuRu. Source: the Alexandria database, functional PBE-GGA.

The value obtained for the total energy is -0.22934 Ha/atom. Its calculated density is 9.59 g/cm³. The value obtained for the spin magnetization is 0.0 μB per formula unit.

It has space group F-43m (No. 216), with a = 6.890 Å, b = 6.890 Å, c = 6.890 Å, α = 90.00°, β = 90.00° and γ = 90.00°. The inequivalent atoms are Ce at (0.000, 0.000, 0.000), Er at (0.000, 0.000, 0.500), Cu at (0.250, 0.250, 0.750) and Ru at (0.250, 0.250, 0.250).

***

Record 15
A relaxed structure of CeErCu2Si2. Source: the Alexandria database, functional PBE-GGA.

The value obtained for the total energy is -0.20373 Ha/atom. Its calculated density is 7.16 g/cm³. The value obtained for the spin magnetization is 0.7 μB per formula unit.

It has space group P-3m1 (No. 164), with a = 4.1453 Å, b = 4.1453 Å, c = 7.6470 Å, α = 90.00°, β = 90.00° and γ = 120.00°. The inequivalent atoms are Ce at (0.0000, 0.0000, 0.0000), Er at (0.0000, 0.0000, 0.5000), Cu at (0.3333, 0.6667, 0.2624) and Si at (0.3333, 0.6667, 0.7439).

***

Record 16
A relaxed structure of Ce2Er2CuSi4. Source: the Alexandria database, functional PBE-GGA.

The value obtained for the total energy is -0.19990 Ha/atom. Its calculated density is 6.76 g/cm³. The value obtained for the spin magnetization is 1.4 μB per formula unit.

It has space group I4/mmm (No. 139), with a = 6.801 Å, b = 6.801 Å, c = 8.394 Å, α = 90.00°, β = 90.00° and γ = 90.00°. The inequivalent atoms are Ce at (0.000, 0.000, 0.184), Er at (0.000, 0.500, 0.250), Cu at (0.000, 0.000, 0.500) and Si at (0.237, 0.237, 0.500).

***

Record 17
A relaxed structure of CeErTlCu. Source: the Alexandria database, functional PBE-GGA.

The value obtained for the total energy is -0.16060 Ha/atom. Its calculated density is 9.44 g/cm³. The value obtained for the spin magnetization is 1.2 μB per formula unit.

It has space group F-43m (No. 216), with a = 7.396 Å, b = 7.396 Å, c = 7.396 Å, α = 90.00°, β = 90.00° and γ = 90.00°. The inequivalent atoms are Ce at (0.000, 0.000, 0.000), Er at (0.000, 0.000, 0.500), Tl at (0.250, 0.250, 0.750) and Cu at (0.250, 0.250, 0.250).

***

Record 18
A relaxed structure of CeEuCu. Source: the Alexandria database, functional PBE-GGA.

The value obtained for the total energy is -0.24719 Ha/atom. Its calculated density is 7.21 g/cm³. The value obtained for the spin magnetization is 8.9 μB per formula unit.

It has space group I4mm (No. 107), with a = 3.606 Å, b = 3.606 Å, c = 12.607 Å, α = 90.00°, β = 90.00° and γ = 90.00°. The inequivalent atoms are Ce at (0.000, 0.000, 0.000), Eu at (0.000, 0.000, 0.725) and Cu at (0.000, 0.000, 0.376).

***

Record 19
A relaxed structure of CeEuCuPb. Source: the Alexandria database, functional PBE-GGA.

The value obtained for the total energy is -0.22866 Ha/atom. Its calculated density is 8.37 g/cm³. The value obtained for the spin magnetization is 8.2 μB per formula unit.

It has space group F-43m (No. 216), with a = 7.644 Å, b = 7.644 Å, c = 7.644 Å, α = 90.00°, β = 90.00° and γ = 90.00°. The inequivalent atoms are Ce at (0.000, 0.000, 0.000), Eu at (0.000, 0.000, 0.500), Cu at (0.250, 0.250, 0.250) and Pb at (0.250, 0.250, 0.750).

***

Record 20
A relaxed structure of CeEuCuPt. Source: the Alexandria database, functional PBE-GGA.

The value obtained for the total energy is -0.26100 Ha/atom. Its calculated density is 10.01 g/cm³. The value obtained for the spin magnetization is 7.8 μB per formula unit.

It has space group F-43m (No. 216), with a = 7.149 Å, b = 7.149 Å, c = 7.149 Å, α = 90.00°, β = 90.00° and γ = 90.00°. The inequivalent atoms are Ce at (0.000, 0.000, 0.000), Eu at (0.000, 0.000, 0.500), Cu at (0.250, 0.250, 0.750) and Pt at (0.250, 0.250, 0.250).